Record 1
## ReSi2As (GGA-PBE)

Data for an optimized crystal structure of ReSi2As.

Results
The calculation puts the density of states at the Fermi level at 4.29 states/eV per cell. As for the formation energy from raw total energies: 186 kJ/mol of formula units.

Cell lengths 2.948, 4.872, 9.224 Å; angles 90.00, 90.00, 90.00 degrees
Space group Cmm2 (No. 35)
One atom of each set of equivalent atoms:
Re 0.000 0.000 0.000 x2
Si 0.000 0.000 0.439 x2
Si 0.000 0.500 0.214 x2
As 0.000 0.500 0.768 x2

Record 2
## ReSi2As (GGA-PBE)

Data for an optimized crystal structure of ReSi2As.

Results
The calculation puts the density of states at the Fermi level at 9.15 states/eV per cell. As for the formation energy from raw total energies: 85 kJ/mol of formula units.

Cell lengths 3.0336, 3.0336, 23.6237 Å; angles 90.00, 90.00, 120.00 degrees
Space group R-3m (No. 166, hexagonal axes)
One atom of each set of equivalent atoms:
Re 0.0000 0.0000 0.0000 x3
Si 0.0000 0.0000 0.2586 x6
As 0.0000 0.0000 0.5000 x3

| no. | magnetization (μB/cell) |
| --- | --- |
| 1 | 0.0 |
| 2 | 0.0 |